[1]
Material: PrDy3Th4
Method: DFT, PBE
State: relaxed

Unit cell a=19.1487 b=3.4560 c=9.3860 alpha=90.00 beta=119.13 gamma=90.00
With the nearest neighbours (Å) after each atom.
Space group C2/m (No. 12)
Unique sites:
Pr1 0.0000 0.0000 0.0000  2 Pr 3.46, 4 Dy 3.51, 2 Th 3.84
Dy1 0.0000 0.5000 0.5000  2 Dy 3.46, 8 Th 3.53-3.55
Dy2 0.1827 0.5000 0.1816  6 Th 3.28-3.44, 2 Dy 3.46, 2 Pr 3.51
Th1 0.1501 0.0000 0.8393  5 Dy 3.30-3.53, 3 Th 3.46-3.54
Th2 0.1529 0.0000 0.4646  5 Dy 3.28-3.55, 3 Th 3.46-3.54

Values from the calculation:
Uncorrected energy in eV per atom: -5.7201
Crystal system: monoclinic
ΔE_f in eV/atom: 0.313

***

[2]
Material: PrDy7Th2
Method: DFT, PBE
State: relaxed

Unit cell a=12.4781 b=11.3450 c=5.5712 alpha=90.00 beta=116.20 gamma=90.00
With the nearest neighbours (Å) after each atom.
Space group C2/m (No. 12)
Unique sites:
Pr1 0.0000 0.0000 0.0000  4 Dy 3.30, 4 Th 3.31
Dy1 0.0000 0.3371 0.0000  5 Dy 3.34-3.70, 2 Th 3.45
Dy2 0.0000 0.5000 0.5000  8 Dy 3.26-3.34
Dy3 0.2476 0.3492 0.7476  5 Dy 3.26-3.58, 1 Pr 3.30, 1 Th 3.53
Th1 0.0000 0.1570 0.5000  2 Pr 3.31, 4 Dy 3.45-3.53, 1 Th 3.56

Values from the calculation:
Uncorrected energy in eV per atom: -4.7471
Crystal system: monoclinic
ΔE_f in eV/atom: 0.436

***

[3]
Material: PrDyTh2
Method: DFT, PBE
State: relaxed

Unit cell a=5.0602 b=5.0998 c=10.2381 alpha=90.00 beta=90.10 gamma=90.00
With the nearest neighbours (Å) after each atom.
Space group P2_1/m (No. 11)
Unique sites:
Pr1 0.9997 0.2500 0.1336  4 Th 3.58-3.59, 6 Dy 3.59-3.73, 2 Pr 3.74
Dy1 0.5001 0.2500 0.8662  4 Th 3.56-3.60, 6 Pr 3.59-3.73, 2 Dy 3.74
Th1 0.0001 0.2500 0.6208  8 Th 3.52-3.59, 2 Dy 3.56-3.57, 2 Pr 3.58
Th2 0.5003 0.2500 0.3815  8 Th 3.52-3.59, 2 Pr 3.58-3.59, 2 Dy 3.60

Values from the calculation:
Uncorrected energy in eV per atom: -6.0252
ΔE to the lowest computed polymorph in eV/atom: 0.000
Crystal system: monoclinic
ΔE_f in eV/atom: 0.030

***

[4]
Material: Pr12Dy2Th
Method: DFT, PBE
State: relaxed

Unit cell a=7.2315 b=11.7771 c=25.3143 alpha=90.00 beta=90.00 gamma=90.00
With the nearest neighbours (Å) after each atom.
Space group Cmme (No. 67)
Unique sites:
Pr1 0.0000 0.0021 0.0732  2 Th 3.47-3.48, 9 Pr 3.62-3.72
Pr2 0.0000 0.0251 0.5599  5 Pr 3.09-3.45
Pr3 0.2306 0.2500 0.4142  7 Pr 3.33-3.72
Pr4 0.2486 0.2500 0.8736  8 Pr 3.48-3.72, 2 Th 3.64-3.70
Pr5 0.2500 0.0000 0.1997  3 Pr 3.16-3.48
Pr6 0.2500 0.0000 0.3244  3 Pr 3.16-3.45
Dy1 0.0000 0.2500 0.2669  2 Dy 3.62, 10 Pr 3.75-4.00
Dy2 0.0000 0.2500 0.7291  2 Dy 3.62, 8 Pr 3.71-3.90
Th1 0.0000 0.2500 0.9989  8 Pr 3.47-3.70, 2 Th 3.62

Values from the calculation:
Uncorrected energy in eV per atom: -4.7614
Crystal system: orthorhombic
ΔE_f in eV/atom: 0.170

***

[5]
Material: Pr3Dy2Th2
Method: DFT, PBE
State: relaxed

Unit cell a=5.6200 b=3.4739 c=12.5456 alpha=90.00 beta=102.94 gamma=90.00
With the nearest neighbours (Å) after each atom.
Space group P2/m (No. 10)
Unique sites:
Pr1 0.0000 0.0000 0.0000  2 Th 3.44, 2 Pr 3.47, 8 Dy 3.77-3.78
Pr2 0.2917 0.0000 0.5810  2 Th 3.27-3.29, 4 Pr 3.43-3.47
Dy1 0.4246 0.5000 0.8502  3 Dy 3.47-3.66, 4 Th 3.67, 6 Pr 3.72-3.78
Th1 0.1411 0.0000 0.2811  3 Pr 3.27-3.44, 2 Th 3.47

Values from the calculation:
Uncorrected energy in eV per atom: -5.3196
Crystal system: monoclinic
ΔE_f in eV/atom: 0.164

***

[6]
Material: Pr3Dy8Th2
Method: DFT, PBE
State: relaxed

Unit cell a=11.3217 b=13.6304 c=11.5579 alpha=90.00 beta=90.00 gamma=90.00
With the nearest neighbours (Å) after each atom.
Space group Cmce (No. 64)
Unique sites:
Pr1 0.0000 0.0000 0.0000  2 Th 3.04, 2 Dy 3.40
Pr2 0.2500 0.1426 0.2500  2 Dy 3.36, 2 Th 3.75
Dy1 0.0000 0.0625 0.3747  2 Pr 3.36, 6 Dy 3.36-3.66, 1 Th 3.66
Dy2 0.0000 0.1693 0.7844  2 Th 3.05-3.21, 1 Pr 3.40
Dy3 0.2314 0.1170 0.5832  2 Th 3.47-3.71, 6 Dy 3.48-3.88, 3 Pr 3.57-3.87
Th1 0.0000 0.2177 0.0563  1 Pr 3.04, 2 Dy 3.05-3.21

Values from the calculation:
Uncorrected energy in eV per atom: -4.8685
Crystal system: orthorhombic
ΔE_f in eV/atom: 0.208

***

[7]
Material: Pr2Dy6Th
Method: DFT, PBE
State: relaxed

Unit cell a=3.4091 b=9.9015 c=17.8092 alpha=90.00 beta=90.00 gamma=90.00
With the nearest neighbours (Å) after each atom.
Space group Immm (No. 71)
Unique sites:
Pr1 0.0000 0.0000 0.1645  2 Pr 3.41, 8 Dy 3.51-3.57
Dy1 0.0000 0.1833 0.3341  7 Dy 3.41-3.69, 1 Th 3.47, 3 Pr 3.52-3.57
Dy2 0.0000 0.1942 0.0000  6 Dy 3.41-3.62, 2 Th 3.47, 2 Pr 3.51
Th1 0.0000 0.0000 0.5000  2 Th 3.41, 8 Dy 3.47

Values from the calculation:
Uncorrected energy in eV per atom: -4.7560
ΔE to the lowest computed polymorph in eV/atom: 0.124
Crystal system: orthorhombic
ΔE_f in eV/atom: 0.199

***

[8]
Material: Pr12Dy6Th
Method: DFT, PBE
State: relaxed

Unit cell a=13.4349 b=13.4349 c=12.9746 alpha=90.00 beta=90.00 gamma=120.00
With the nearest neighbours (Å) after each atom.
Space group R-3m (No. 166, hexagonal axes)
Unique sites:
Pr1 0.0000 0.2621 0.0000  4 Dy 3.48-3.58, 1 Th 3.52, 6 Pr 3.52-3.68
Pr2 0.0577 0.5288 0.1126  5 Pr 3.22-3.58
Dy1 0.0875 0.1750 0.7725  4 Pr 3.48-3.58, 2 Dy 3.53, 1 Th 3.59
Th1 0.0000 0.0000 0.0000  6 Pr 3.52, 6 Dy 3.59

Values from the calculation:
Uncorrected energy in eV per atom: -4.7339
Crystal system: trigonal
ΔE_f in eV/atom: 0.129